4
Lattice="2.924 0.004 0.000 -0.004 2.924 0.000 0.000 0.000 8.573" Properties=species:S:1:pos:R:3 comment="GGA-PBE ZnCoSe2, optimized geometry" total_magnetization_mub_per_cell=0.00 e_form_raw_kcal_per_mol_atoms=0.73 dft_energy_ev_per_cell=-15.2 pbc="T T T"
Co 1.460 1.464 6.409
Se 0.000 0.000 7.640
Se 1.460 1.464 2.715
Zn 0.000 0.000 4.669